1.
A relaxed SrGa4PdPt2 crystal, computed with GGA-PBE.

For the formation energy, the calculation gives -5.28 eV/f.u. Its volume is 151.9 Å³ per cell.

a = 4.325 Å, b = 4.325 Å, c = 9.699 Å
α = 77.12°, β = 77.12°, γ = 60.00°
Element x y z (fractional)
Pt 0.232 0.232 0.304
Pt 0.768 0.768 0.696
Ga 0.867 0.867 0.398
Ga 0.133 0.133 0.602
Ga 0.595 0.595 0.214
Ga 0.405 0.405 0.786
Pd 0.500 0.500 0.500
Sr 0.000 0.000 0.000



2.
A relaxed Sr2Ga4PdPt3 crystal, computed with GGA-PBE.

For the formation energy, the calculation gives -8.60 eV/f.u. Its volume is 203.4 Å³ per cell.

a = 4.468 Å, b = 4.468 Å, c = 10.188 Å
α = 90.00°, β = 90.00°, γ = 90.00°
Element x y z (fractional)
Pd 0.500 0.500 0.500
Pt 0.000 0.500 0.128
Pt 0.000 0.000 0.500
Pt 0.500 0.000 0.872
Ga 0.500 0.500 0.000
Ga 0.000 0.500 0.378
Ga 0.000 0.000 0.000
Ga 0.500 0.000 0.622
Sr 0.000 0.500 0.746
Sr 0.500 0.000 0.254



3.
A relaxed TaGaPdPt crystal, computed with GGA-PBE.

For the formation energy, the calculation gives -1.80 eV/f.u. Its volume is 64.4 Å³ per cell.

a = 4.500 Å, b = 4.500 Å, c = 4.500 Å
α = 60.00°, β = 60.00°, γ = 60.00°
Element x y z (fractional)
Ga 0.250 0.250 0.250
Pd 0.000 0.000 0.000
Pt 0.500 0.500 0.500
Ta 0.750 0.750 0.750



4.
A relaxed Tb2Ga4Pd3Pt crystal, computed with GGA-PBE.

For the formation energy, the calculation gives -8.30 eV/f.u. Its volume is 186.7 Å³ per cell.

a = 4.088 Å, b = 4.088 Å, c = 11.172 Å
α = 90.00°, β = 90.00°, γ = 90.00°
Element x y z (fractional)
Pt 0.500 0.500 0.500
Ga 0.000 0.500 0.365
Ga 0.000 0.000 0.000
Ga 0.500 0.000 0.635
Ga 0.500 0.500 0.000
Pd 0.000 0.500 0.142
Pd 0.500 0.000 0.858
Pd 0.000 0.000 0.500
Tb 0.500 0.000 0.250
Tb 0.000 0.500 0.750



5.
A relaxed TbGa4PdPt2 crystal, computed with GGA-PBE.

For the formation energy, the calculation gives -5.62 eV/f.u. Its volume is 139.0 Å³ per cell.

a = 4.306 Å, b = 4.306 Å, c = 9.003 Å
α = 76.16°, β = 76.16°, γ = 60.00°
Element x y z (fractional)
Ga 0.131 0.131 0.606
Ga 0.397 0.397 0.809
Ga 0.869 0.869 0.394
Ga 0.603 0.603 0.191
Pd 0.500 0.500 0.500
Tb 0.000 0.000 0.000
Pt 0.243 0.243 0.270
Pt 0.757 0.757 0.730



6.
A relaxed TbGa2Pd2Pt crystal, computed with GGA-PBE.

For the formation energy, the calculation gives -3.08 eV/f.u. Its volume is 123.3 Å³ per cell.

a = 4.723 Å, b = 4.723 Å, c = 5.528 Å
α = 90.00°, β = 90.00°, γ = 90.00°
Element x y z (fractional)
Pt 0.000 0.000 0.000
Pd 0.500 0.500 0.256
Pd 0.500 0.500 0.744
Ga 0.500 0.000 0.000
Ga 0.000 0.500 0.000
Tb 0.000 0.000 0.500



7.
A relaxed Tb2Ga2PdPt5 crystal, computed with GGA-PBE.

For the formation energy, the calculation gives -8.48 eV/f.u. Its volume is 354.4 Å³ per cell.

a = 3.801 Å, b = 9.657 Å, c = 9.657 Å
α = 90.00°, β = 90.00°, γ = 90.00°
Element x y z (fractional)
Pt 0.500 0.436 0.296
Pt 0.500 0.936 0.204
Pt 0.500 0.796 0.936
Pt 0.500 0.296 0.564
Pt 0.500 0.000 0.500
Pt 0.500 0.564 0.704
Pt 0.500 0.704 0.436
Pt 0.500 0.204 0.064
Pt 0.500 0.064 0.796
Pt 0.500 0.500 0.000
Ga 0.000 0.623 0.877
Ga 0.000 0.877 0.377
Ga 0.000 0.123 0.623
Ga 0.000 0.377 0.123
Pd 0.000 0.000 0.000
Pd 0.000 0.500 0.500
Tb 0.000 0.677 0.177
Tb 0.000 0.323 0.823
Tb 0.000 0.823 0.677
Tb 0.000 0.177 0.323



8.
A relaxed ThGa2Pd2Pt crystal, computed with GGA-PBE.

For the formation energy, the calculation gives -2.93 eV/f.u. Its volume is 125.1 Å³ per cell.

a = 4.731 Å, b = 4.731 Å, c = 5.587 Å
α = 90.00°, β = 90.00°, γ = 90.00°
Element x y z (fractional)
Th 0.000 0.000 0.500
Pd 0.500 0.500 0.740
Pd 0.500 0.500 0.260
Ga 0.500 0.000 0.000
Ga 0.000 0.500 0.000
Pt 0.000 0.000 0.000



9.
A relaxed ThGa5PdPt2 crystal, computed with GGA-PBE.

For the formation energy, the calculation gives -3.92 eV/f.u. Its volume is 187.8 Å³ per cell.

a = 4.249 Å, b = 4.249 Å, c = 10.404 Å
α = 90.00°, β = 90.00°, γ = 90.00°
Element x y z (fractional)
Pt 0.500 0.500 0.727
Pt 0.500 0.500 0.273
Ga 0.500 0.500 0.500
Ga 0.000 0.500 0.146
Ga 0.500 0.000 0.854
Ga 0.000 0.500 0.854
Ga 0.500 0.000 0.146
Pd 0.000 0.000 0.000
Th 0.000 0.000 0.500



10.
A relaxed ThGa4Pd2Pt crystal, computed with GGA-PBE.

For the formation energy, the calculation gives -5.03 eV/f.u. Its volume is 144.3 Å³ per cell.

a = 4.329 Å, b = 4.329 Å, c = 9.238 Å
α = 76.45°, β = 76.45°, γ = 60.00°
Element x y z (fractional)
Ga 0.401 0.401 0.798
Ga 0.869 0.869 0.392
Ga 0.599 0.599 0.202
Ga 0.131 0.131 0.608
Pd 0.757 0.757 0.730
Pd 0.243 0.243 0.270
Pt 0.500 0.500 0.500
Th 0.000 0.000 0.000



11.
A relaxed TiGaPdPt crystal, computed with GGA-PBE.

For the formation energy, the calculation gives -2.98 eV/f.u. As for the distance to the lowest polymorph of the same formula: 0.0000 eV/atom. Its volume is 61.3 Å³ per cell.

a = 4.154 Å, b = 4.154 Å, c = 4.609 Å
α = 116.77°, β = 116.79°, γ = 90.00°
Element x y z (fractional)
Pt 0.500 0.500 0.000
Ga 0.250 0.750 0.500
Ti 0.750 0.250 0.500
Pd 0.000 0.000 0.000



12.
A relaxed TiGaPdPt crystal, computed with GGA-PBE.

For the formation energy, the calculation gives -2.95 eV/f.u. As for the distance to the lowest polymorph of the same formula: 0.0066 eV/atom. Its volume is 61.6 Å³ per cell.

a = 4.434 Å, b = 4.434 Å, c = 4.434 Å
α = 60.00°, β = 60.00°, γ = 60.00°
Element x y z (fractional)
Ga 0.500 0.500 0.500
Pd 0.250 0.250 0.250
Ti 0.000 0.000 0.000
Pt 0.750 0.750 0.750